Record 1
Compound: ErPu2ZrSe4
Source: Alexandria
Functional: GGA-PBE
Structure: optimized geometry

Cell lengths 6.9067, 4.0364, 7.1029 Å; angles 90.00, 109.48, 90.00 degrees
Closest atoms and distances in Å follow each position.
Space group P2/m (No. 10)
Symmetry-distinct sites (fractional):
Er1 0.0000 0.0000 0.0000 x1  6 Se 2.83
Pu1 0.5000 0.0000 0.5000 x1  6 Se 2.88-2.89
Pu2 0.5000 0.5000 0.0000 x1  6 Se 2.91-2.92
Zr1 0.0000 0.5000 0.5000 x1  6 Se 2.80
Se1 0.2382 0.0000 0.7432 x2  2 Zr 2.80, 1 Er 2.83, 3 Pu 2.89-2.91
Se2 0.2396 0.5000 0.2506 x2  1 Zr 2.80, 2 Er 2.83, 3 Pu 2.88-2.92

Values from the calculation:
Energy relative to the elements, uncorrected in eV/atom: -1.47



Record 2
Compound: BaGe2I6
Source: Alexandria
Functional: GGA-PBE
Structure: optimized geometry

Cell lengths 7.8062, 7.8062, 7.4955 Å; angles 90.00, 90.00, 120.00 degrees
Closest atoms and distances in Å follow each position.
Space group P-31m (No. 162)
Symmetry-distinct sites (fractional):
Ba1 0.0000 0.0000 0.0000 x1  6 I 3.50
Ge1 0.3333 0.6667 0.5000 x2  6 I 3.03
I1 0.0000 0.3669 0.2678 x6  2 Ge 3.03

Values from the calculation:
Energy relative to the elements, uncorrected in eV/atom: -0.76



Record 3
Compound: MnCo2Tc
Source: Alexandria
Functional: GGA-PBE
Structure: optimized geometry

Cell lengths 3.6046, 3.6046, 7.2089 Å; angles 90.00, 90.00, 90.00 degrees
Closest atoms and distances in Å follow each position.
Space group I-4m2 (No. 119)
Symmetry-distinct sites (fractional):
Mn1 0.0000 0.0000 0.0000 x2  4 Tc 2.55, 8 Co 2.55
Co1 0.0000 0.0000 0.5000 x2  4 Co 2.55, 4 Tc 2.55, 4 Mn 2.55
Co2 0.0000 0.5000 0.2500 x2  4 Co 2.55, 4 Mn 2.55, 4 Tc 2.55
Tc1 0.0000 0.5000 0.7500 x2  4 Mn 2.55, 8 Co 2.55

Values from the calculation:
Calculated formation energy in eV/atom: 0.065